No. 1
KTl12Sn4 (PBE, optimized geometry); calculated formation energy = 120.6 meV per atom; spin magnetization = 0.00 μB/cell; E = -2.556 eV per atom; SG = No. 204
1.0
-1.8620 3.3776 8.3631
2.6066 -8.8010 0.7513
6.7842 4.8957 -3.8502
K Tl Sn
1 12 4
Direct
0.0000 0.0000 0.0000
0.8502 0.3520 0.2020
0.3519 0.5019 0.1500
0.7980 0.1498 0.6480
0.3520 0.2020 0.8502
0.2020 0.8502 0.3520
0.6481 0.4981 0.8500
0.5019 0.1500 0.3519
0.4981 0.8500 0.6481
0.6480 0.7980 0.1498
0.8500 0.6481 0.4981
0.1500 0.3519 0.5019
0.1498 0.6480 0.7980
0.0000 0.5000 0.0000
0.5000 0.0000 0.0000
0.5000 0.5000 0.5000
0.0000 0.0000 0.5000


No. 2
KTlSn2 (PBE, optimized geometry); calculated formation energy = 70.9 meV per atom; spin magnetization = 0.00 μB/cell; E = -2.796 eV per atom; energy above the lowest structure with this stoichiometry = 0.60 eV/f.u.; SG = No. 225
1.0
0.0000 3.9668 3.9668
3.9668 0.0000 3.9668
3.9668 3.9668 0.0000
K Tl Sn
1 1 2
Direct
0.0000 0.0000 0.0000
0.5000 0.5000 0.5000
0.2500 0.2500 0.2500
0.7500 0.7500 0.7500


No. 3
KTl3Sn (PBE, optimized geometry); calculated formation energy = 116.1 meV per atom; spin magnetization = 0.00 μB/cell; E = -2.324 eV per atom; energy above the lowest structure with this stoichiometry = 1.02 eV/f.u.; SG = No. 221
1.0
6.0109 0.0000 0.0000
0.0000 6.0109 0.0000
0.0000 0.0000 6.0109
K Tl Sn
1 3 1
Direct
0.5000 0.5000 0.5000
0.0000 0.5000 0.0000
0.0000 0.0000 0.5000
0.5000 0.0000 0.0000
0.0000 0.0000 0.0000


Question: Which value of E does entry 2 give?
Answer: -2.796 eV per atom